Li5Cd2AgAu2 | Alexandria | PBE-GGA | optimized geometry; formation energy from the elements = -301 meV/atom; theoretical density = 6992 kg/m3
1.0
-2.576 2.403 0.263
-0.650 -1.782 9.938
6.893 7.198 1.741
Li Cd Ag Au
10 4 2 4
Direct
0.500 0.069 0.807 Li
0.500 0.193 0.069 Li
0.500 0.807 0.931 Li
0.500 0.931 0.193 Li
0.500 0.307 0.569 Li
0.500 0.431 0.307 Li
0.500 0.000 0.500 Li
0.500 0.569 0.693 Li
0.500 0.693 0.431 Li
0.500 0.500 0.000 Li
0.000 0.667 0.167 Cd
0.000 0.333 0.833 Cd
0.000 0.833 0.667 Cd
0.000 0.167 0.333 Cd
0.000 0.500 0.500 Ag
0.000 0.000 0.000 Ag
0.000 0.632 0.868 Au
0.000 0.868 0.368 Au
0.000 0.132 0.632 Au
0.000 0.368 0.132 Au